No. 1
A plane-wave DFT calculation with PBE was carried out for a relaxed YCrC2 crystal.

The volume comes out at 231.4 Å³ per cell. As for the electronic total energy: -0.309 Ha/atom. The calculation puts the formation energy at 0.221 eV per atom.

It has space group I-42d (No. 122), with a = 4.802 Å, b = 4.802 Å, c = 10.036 Å, α = 90.00°, β = 90.00° and γ = 90.00°. The inequivalent atoms are Y at (0.000, 0.000, 0.000), Cr at (0.000, 0.000, 0.500) and C at (0.143, 0.250, 0.625).

***

No. 2
A plane-wave DFT calculation with PBE was carried out for a relaxed Ac2Cu2Pd5Pt crystal.

The volume comes out at 377.1 Å³ per cell. As for the electronic total energy: -0.198 Ha/atom. The calculation puts the formation energy at -0.555 eV per atom.

It has space group P4/mbm (No. 127), with a = 9.629 Å, b = 9.629 Å, c = 4.067 Å, α = 90.00°, β = 90.00° and γ = 90.00°. The inequivalent atoms are Ac at (0.187, 0.313, 0.000), Cu at (0.111, 0.611, 0.000), Pd at (0.000, 0.500, 0.500), Pd at (0.059, 0.792, 0.500) and Pt at (0.000, 0.000, 0.000).

***

No. 3
A plane-wave DFT calculation with PBE was carried out for a relaxed La5Pm2NdTl crystal.

The volume comes out at 1287.5 Å³ per cell. As for the electronic total energy: -0.169 Ha/atom. The calculation puts the formation energy at -0.006 eV per atom.

It has space group Cmc2_1 (No. 36), with a = 5.693 Å, b = 20.312 Å, c = 11.134 Å, α = 90.00°, β = 90.00° and γ = 90.00°. The inequivalent atoms are La at (0.000, 0.000, 0.000), La at (0.000, 0.122, 0.251), La at (0.000, 0.209, 0.953), La at (0.000, 0.213, 0.554), La at (0.000, 0.490, 0.252), Pm at (0.000, 0.382, 0.956), Pm at (0.000, 0.384, 0.548), Nd at (0.000, 0.308, 0.253) and Tl at (0.000, 0.092, 0.749).

***

No. 4
A plane-wave DFT calculation with PBE was carried out for a relaxed CsBe2NiPt crystal.

The volume comes out at 105.0 Å³ per cell. As for the electronic total energy: -0.106 Ha/atom. The calculation puts the formation energy at 1.144 eV per atom.

It has space group P4/mmm (No. 123), with a = 4.228 Å, b = 4.228 Å, c = 5.876 Å, α = 90.00°, β = 90.00° and γ = 90.00°. The inequivalent atoms are Cs at (0.000, 0.000, 0.000), Be at (0.000, 0.500, 0.500), Ni at (0.000, 0.000, 0.500) and Pt at (0.500, 0.500, 0.000).

***

No. 5
A plane-wave DFT calculation with PBE was carried out for a relaxed Ta5C3 crystal.

The volume comes out at 203.0 Å³ per cell. As for the electronic total energy: -0.394 Ha/atom. The energy relative to the lowest polymorph listed for this composition is 80 meV per atom. The calculation puts the formation energy at 0.142 eV per atom.

It has space group P6_3/mcm (No. 193), with a = 6.7423 Å, b = 6.7423 Å, c = 5.1556 Å, α = 90.00°, β = 90.00° and γ = 120.00°. The inequivalent atoms are Ta at (0.0000, 0.2522, 0.2500), Ta at (0.3333, 0.6667, 0.0000) and C at (0.0000, 0.3851, 0.7500).

***

No. 6
A plane-wave DFT calculation with PBE was carried out for a relaxed Hf3GaB crystal.

The volume comes out at 93.4 Å³ per cell. As for the electronic total energy: -0.304 Ha/atom. The energy relative to the lowest polymorph listed for this composition is 0 meV per atom. The calculation puts the formation energy at -0.359 eV per atom.

It has space group Pm-3m (No. 221), with a = 4.538 Å, b = 4.538 Å, c = 4.538 Å, α = 90.00°, β = 90.00° and γ = 90.00°. The inequivalent atoms are Hf at (0.000, 0.000, 0.500), Ga at (0.500, 0.500, 0.500) and B at (0.000, 0.000, 0.000).

***

No. 7
A plane-wave DFT calculation with PBE was carried out for a relaxed Sn4Sb2Pd crystal.

The volume comes out at 203.0 Å³ per cell. As for the electronic total energy: -0.157 Ha/atom. The energy relative to the lowest polymorph listed for this composition is 0 meV per atom.

It has space group P-1 (No. 2), with a = 4.206 Å, b = 6.593 Å, c = 7.985 Å, α = 108.04°, β = 91.71° and γ = 103.94°. The inequivalent atoms are Sn at (0.097, 0.270, 0.467), Sn at (0.375, 0.753, 0.162), Sb at (0.149, 0.270, 0.094) and Pd at (0.500, 0.000, 0.500).

***

No. 8
A plane-wave DFT calculation with PBE was carried out for a relaxed LaTa2Tl crystal.

The volume comes out at 191.3 Å³ per cell. As for the electronic total energy: -0.266 Ha/atom. The calculation puts the formation energy at 0.514 eV per atom.

It has space group Imm2 (No. 44), with a = 3.364 Å, b = 5.321 Å, c = 10.687 Å, α = 90.00°, β = 90.00° and γ = 90.00°. The inequivalent atoms are La at (0.000, 0.000, 0.000), Ta at (0.000, 0.000, 0.460), Ta at (0.000, 0.500, 0.766) and Tl at (0.000, 0.500, 0.214).

***

No. 9
A plane-wave DFT calculation with PBE was carried out for a relaxed PrNd2Se3 crystal.

The volume comes out at 323.9 Å³ per cell. As for the electronic total energy: -0.219 Ha/atom. The energy relative to the lowest polymorph listed for this composition is 0 meV per atom.

It has space group Immm (No. 71), with a = 4.257 Å, b = 5.990 Å, c = 12.705 Å, α = 90.00°, β = 90.00° and γ = 90.00°. The inequivalent atoms are Pr at (0.000, 0.000, 0.000), Nd at (0.000, 0.000, 0.335), Se at (0.000, 0.500, 0.000) and Se at (0.000, 0.500, 0.331).

***

No. 10
A plane-wave DFT calculation with PBE was carried out for a relaxed PrHo2Er5Th crystal.

The volume comes out at 1145.6 Å³ per cell. As for the electronic total energy: -0.169 Ha/atom. The calculation puts the formation energy at 0.316 eV per atom.

It has space group I4/mcm (No. 140), with a = 8.741 Å, b = 8.741 Å, c = 14.993 Å, α = 90.00°, β = 90.00° and γ = 90.00°. The inequivalent atoms are Pr at (0.000, 0.500, 0.250), Ho at (0.115, 0.385, 0.000), Er at (0.000, 0.000, 0.000), Er at (0.207, 0.293, 0.365) and Th at (0.000, 0.000, 0.250).

***

No. 11
A plane-wave DFT calculation with PBE was carried out for a relaxed TbPuCoTc crystal.

The volume comes out at 306.0 Å³ per cell. As for the electronic total energy: -0.333 Ha/atom. The calculation puts the formation energy at 0.037 eV per atom.

It has space group F-43m (No. 216), with a = 6.739 Å, b = 6.739 Å, c = 6.739 Å, α = 90.00°, β = 90.00° and γ = 90.00°. The inequivalent atoms are Tb at (0.000, 0.000, 0.000), Pu at (0.000, 0.000, 0.500), Co at (0.250, 0.250, 0.750) and Tc at (0.250, 0.250, 0.250).

***

No. 12
A plane-wave DFT calculation with PBE was carried out for a relaxed ReHN crystal.

The volume comes out at 121.6 Å³ per cell. As for the electronic total energy: -0.285 Ha/atom. The energy relative to the lowest polymorph listed for this composition is 98 meV per atom.

It has space group C2/m (No. 12), with a = 4.273 Å, b = 4.339 Å, c = 6.814 Å, α = 90.00°, β = 105.71° and γ = 90.00°. The inequivalent atoms are Re at (0.200, 0.000, 0.394), H at (0.219, 0.500, 0.068) and N at (0.035, 0.000, 0.910).

***

No. 13
A plane-wave DFT calculation with PBE was carried out for a relaxed ErTm2Ir9 crystal.

The volume comes out at 634.9 Å³ per cell. As for the electronic total energy: -0.307 Ha/atom. The calculation puts the formation energy at -0.594 eV per atom.

It has space group R-3m (No. 166, hexagonal axes), with a = 5.2822 Å, b = 5.2822 Å, c = 26.2754 Å, α = 90.00°, β = 90.00° and γ = 120.00°. The inequivalent atoms are Er at (0.0000, 0.0000, 0.0000), Tm at (0.0000, 0.0000, 0.1393), Ir at (0.0000, 0.0000, 0.3330), Ir at (0.0000, 0.0000, 0.5000) and Ir at (0.9999, 0.4999, 0.0826).

***

No. 14
A plane-wave DFT calculation with PBE was carried out for a relaxed KWSe2 crystal.

The volume comes out at 312.8 Å³ per cell. As for the electronic total energy: -0.180 Ha/atom. The energy relative to the lowest polymorph listed for this composition is 671 meV per atom.

It has space group Fm-3m (No. 225), with a = 6.788 Å, b = 6.788 Å, c = 6.788 Å, α = 90.00°, β = 90.00° and γ = 90.00°. The inequivalent atoms are K at (0.000, 0.000, 0.000), W at (0.000, 0.000, 0.500) and Se at (0.250, 0.250, 0.250).

***

No. 15
A plane-wave DFT calculation with PBE was carried out for a relaxed NaMnPdN crystal.

The volume comes out at 131.1 Å³ per cell. As for the electronic total energy: -0.223 Ha/atom.

It has space group P4/nmm (No. 129, origin choice 2), with a = 3.559 Å, b = 3.559 Å, c = 10.351 Å, α = 90.00°, β = 90.00° and γ = 90.00°. The inequivalent atoms are Na at (0.250, 0.250, 0.235), Mn at (0.250, 0.750, 0.500), Pd at (0.250, 0.750, 0.000) and N at (0.250, 0.250, 0.574).

***

No. 16
A plane-wave DFT calculation with PBE was carried out for a relaxed AcUHO5 crystal.

The volume comes out at 546.1 Å³ per cell. As for the electronic total energy: -0.302 Ha/atom.

It has space group C2/c (No. 15), with a = 7.122 Å, b = 10.280 Å, c = 8.069 Å, α = 90.00°, β = 112.41° and γ = 90.00°. The inequivalent atoms are Ac at (0.000, 0.050, 0.250), U at (0.250, 0.250, 0.000), H at (0.000, 0.306, 0.250), O at (0.000, 0.204, 0.750), O at (0.055, 0.281, 0.129) and O at (0.211, 0.058, 0.046).

***

No. 17
A plane-wave DFT calculation with PBE was carried out for a relaxed NaGa6Pt12 crystal.

The volume comes out at 979.7 Å³ per cell. As for the electronic total energy: -0.194 Ha/atom. The calculation puts the formation energy at -0.449 eV per atom.

It has space group R-3m (No. 166, hexagonal axes), with a = 11.5934 Å, b = 11.5934 Å, c = 8.4168 Å, α = 90.00°, β = 90.00° and γ = 120.00°. The inequivalent atoms are Na at (0.0000, 0.0000, 0.0000), Ga at (0.0448, 0.5224, 0.2507), Pt at (0.0000, 0.3782, 0.5000) and Pt at (0.0799, 0.1598, 0.3197).

***

No. 18
A plane-wave DFT calculation with PBE was carried out for a relaxed Ac2SbPdPt6 crystal.

The volume comes out at 449.9 Å³ per cell. As for the electronic total energy: -0.226 Ha/atom.

It has space group C2/m (No. 12), with a = 12.549 Å, b = 5.516 Å, c = 9.014 Å, α = 90.00°, β = 133.86° and γ = 90.00°. The inequivalent atoms are Ac at (0.038, 0.000, 0.308), Sb at (0.000, 0.500, 0.000), Pd at (0.000, 0.500, 0.500), Pt at (0.157, 0.500, 0.904) and Pt at (0.243, 0.242, 0.244).

***

No. 19
A plane-wave DFT calculation with PBE was carried out for a relaxed CuNi2Ru crystal.

The volume comes out at 98.0 Å³ per cell. As for the electronic total energy: -0.221 Ha/atom. The energy relative to the lowest polymorph listed for this composition is 140 meV per atom. The calculation puts the formation energy at 0.226 eV per atom.

It has space group Cmmm (No. 65), with a = 2.667 Å, b = 4.321 Å, c = 8.507 Å, α = 90.00°, β = 90.00° and γ = 90.00°. The inequivalent atoms are Cu at (0.000, 0.000, 0.000), Ni at (0.000, 0.500, 0.245) and Ru at (0.000, 0.000, 0.500).

***

No. 20
A plane-wave DFT calculation with PBE was carried out for a relaxed RbAl2AuS crystal.

The volume comes out at 219.5 Å³ per cell. As for the electronic total energy: -0.061 Ha/atom.

It has space group P4/mmm (No. 123), with a = 6.280 Å, b = 6.280 Å, c = 5.565 Å, α = 90.00°, β = 90.00° and γ = 90.00°. The inequivalent atoms are Rb at (0.000, 0.000, 0.000), Al at (0.000, 0.500, 0.000), Au at (0.000, 0.000, 0.500) and S at (0.500, 0.500, 0.500).